# SCAN LaYCu2, PBEsol geometry
data_LaYCu2
_chemical_formula_sum 'La1 Y1 Cu2'
_symmetry_space_group_name_H-M 'P 4/m m m'
_symmetry_Int_Tables_number 123
_symmetry_space_group_name_Hall '-P 4 2'
_cell_length_a 4.960
_cell_length_b 4.960
_cell_length_c 3.488
_cell_angle_alpha 90.00
_cell_angle_beta 90.00
_cell_angle_gamma 90.00
loop_
_atom_site_label
_atom_site_type_symbol
_atom_site_fract_x
_atom_site_fract_y
_atom_site_fract_z
La1 La 0.000 0.000 0.000
Y1 Y 0.500 0.500 0.000
Cu1 Cu 0.000 0.500 0.500
# - Relative energy among the computed polymorphs: 7 kJ/mol of formula units
# - Formation enthalpy at 0 K: -211 meV/atom
# - D(E_F): 0.57 states/eV/atom
# - E_tot: -102.19 eV per cell